# 1
BiSb12Ru4 | GGA-PBE | optimized geometry

Properties
**Formation energy without anion corrections**: -0.0998 eV/atom
**Magnetic moment**: 0.0 Bohr magnetons per cell

a b c (Å): 8.1757 8.1757 8.1757
angles (deg): 109.47 109.47 109.47
Element x y z (fractional)
Bi 0.0000 0.0000 0.0000
Sb 0.1561 0.3332 0.4894
Sb 0.1561 0.6668 0.8229
Sb 0.1771 0.8439 0.3332
Sb 0.3332 0.1771 0.8439
Sb 0.3332 0.4894 0.1561
Sb 0.4894 0.1561 0.3332
Sb 0.5106 0.8439 0.6668
Sb 0.6668 0.5106 0.8439
Sb 0.6668 0.8229 0.1561
Sb 0.8229 0.1561 0.6668
Sb 0.8439 0.3332 0.1771
Sb 0.8439 0.6668 0.5106
Ru 0.0000 0.0000 0.5000
Ru 0.0000 0.5000 0.0000
Ru 0.5000 0.0000 0.0000
Ru 0.5000 0.5000 0.5000

---

# 2
SiBiSb2Ru | GGA-PBE | optimized geometry

Properties
**Formation energy without anion corrections**: 1.8983 eV/atom
**Magnetic moment**: 2.4 Bohr magnetons per cell

a b c (Å): 5.7662 5.7662 5.1922
angles (deg): 90.00 90.00 90.00
Element x y z (fractional)
Si 0.0000 0.0000 0.0000
Bi 0.0000 0.0000 0.5000
Sb 0.0000 0.5000 0.5000
Sb 0.5000 0.0000 0.5000
Ru 0.5000 0.5000 0.0000

---

# 3
BiSbTe2Ru | GGA-PBE | optimized geometry

Properties
**Formation energy without anion corrections**: 0.3746 eV/atom
**Energy above the most stable polymorph in this dataset**: 0 meV per atom
**Magnetic moment**: 0.0 Bohr magnetons per cell

a b c (Å): 5.3063 5.3063 5.0620
angles (deg): 90.00 90.00 90.00
Element x y z (fractional)
Bi 0.0000 0.0000 0.0000
Sb 0.5000 0.5000 0.0000
Te 0.0000 0.5000 0.5000
Te 0.5000 0.0000 0.5000
Ru 0.5000 0.5000 0.5000

---

# 4
Sc2BiRu | GGA-PBE | optimized geometry

Properties
**Energy relative to the elements**: -554 meV per atom
**Magnetic moment**: 0.0 Bohr magnetons per cell

a b c (Å): 3.2806 3.2806 7.9556
angles (deg): 90.00 90.00 90.00
Element x y z (fractional)
Sc 0.0000 0.0000 0.1937
Sc 0.0000 0.0000 0.8063
Bi 0.5000 0.5000 0.5000
Ru 0.5000 0.5000 0.0000

---

# 5
ScBiRu | GGA-PBE | optimized geometry

Properties
**Energy relative to the elements**: -205 meV per atom
**Magnetic moment**: 0.0 Bohr magnetons per cell

a b c (Å): 3.2698 3.2698 11.9129
angles (deg): 90.00 90.00 90.00
Element x y z (fractional)
Sc 0.0000 0.0000 0.0000
Sc 0.5000 0.5000 0.5000
Bi 0.0000 0.0000 0.7212
Bi 0.5000 0.5000 0.2212
Ru 0.0000 0.0000 0.3720
Ru 0.5000 0.5000 0.8720

---

# 6
ScBi2Ru | GGA-PBE | optimized geometry

Properties
**Energy relative to the elements**: 15 meV per atom
**Energy above the most stable polymorph in this dataset**: 0 meV per atom
**Magnetic moment**: 0.0 Bohr magnetons per cell

a b c (Å): 7.0651 7.0651 7.0651
angles (deg): 90.00 90.00 90.00
Element x y z (fractional)
Sc 0.0000 0.0000 0.0000
Sc 0.0000 0.5000 0.5000
Sc 0.5000 0.0000 0.5000
Sc 0.5000 0.5000 0.0000
Bi 0.2500 0.2500 0.2500
Bi 0.2500 0.2500 0.7500
Bi 0.2500 0.7500 0.2500
Bi 0.2500 0.7500 0.7500
Bi 0.7500 0.2500 0.2500
Bi 0.7500 0.2500 0.7500
Bi 0.7500 0.7500 0.2500
Bi 0.7500 0.7500 0.7500
Ru 0.0000 0.0000 0.5000
Ru 0.0000 0.5000 0.0000
Ru 0.5000 0.0000 0.0000
Ru 0.5000 0.5000 0.5000

---

# 7
ScBiRu3 | GGA-PBE | optimized geometry

Properties
**Energy relative to the elements**: 1239 meV per atom
**Energy above the most stable polymorph in this dataset**: 0 meV per atom
**Magnetic moment**: 0.0 Bohr magnetons per cell

a b c (Å): 4.6678 4.6678 4.6678
angles (deg): 90.00 90.00 90.00
Element x y z (fractional)
Sc 0.0000 0.0000 0.0000
Bi 0.5000 0.5000 0.5000
Ru 0.0000 0.0000 0.5000
Ru 0.0000 0.5000 0.0000
Ru 0.5000 0.0000 0.0000

---

# 8
ScBiRu | GGA-PBE | optimized geometry

Properties
**Energy relative to the elements**: -191 meV per atom
**Magnetic moment**: 0.0 Bohr magnetons per cell

a b c (Å): 3.4553 3.4553 23.2139
angles (deg): 90.00 90.00 90.00
Element x y z (fractional)
Sc 0.0000 0.0000 0.1653
Sc 0.0000 0.0000 0.8347
Sc 0.5000 0.5000 0.3347
Sc 0.5000 0.5000 0.6653
Bi 0.0000 0.0000 0.4211
Bi 0.0000 0.0000 0.5789
Bi 0.5000 0.5000 0.0789
Bi 0.5000 0.5000 0.9211
Ru 0.0000 0.0000 0.2880
Ru 0.0000 0.0000 0.7120
Ru 0.5000 0.5000 0.2120
Ru 0.5000 0.5000 0.7880